# 1
First-principles (PBE-GGA) data for crystalline Mg5Si6 at its relaxed geometry, as listed in Alexandria.

a = 6.7625 Å, b = 4.2222 Å, c = 14.4558 Å
α = 90.00°, β = 93.41°, γ = 90.00°
Closest atoms and distances in Å follow each position.
Positions (direct):
1 Mg 0.0000 0.0000 0.0000  8 Si 2.86-3.13, 1 Mg 3.12
2 Mg 0.0148 0.5000 0.3371  2 Si 2.59-2.68
3 Mg 0.1244 0.0000 0.7783  6 Si 2.76-2.96
4 Mg 0.1445 0.0000 0.2093  6 Si 2.72-2.95, 2 Mg 2.97
5 Mg 0.3185 0.5000 0.9193  4 Si 2.70-2.77
6 Mg 0.3562 0.0000 0.4142  8 Si 2.81-3.14
7 Mg 0.4981 0.0000 0.0690  4 Si 2.79-2.90, 1 Mg 3.09
8 Mg 0.6213 0.0000 0.8455  9 Si 2.81-3.06
9 Mg 0.6994 0.0000 0.2667  6 Si 2.87-3.02, 4 Mg 3.09-3.17
10 Mg 0.8830 0.0000 0.5106  5 Si 2.89-3.06
11 Si 0.0926 0.5000 0.6556  3 Si 2.29-2.38
12 Si 0.1738 0.5000 0.5044  2 Si 2.29-2.42
13 Si 0.2148 0.5000 0.0971  2 Si 2.49-2.56, 3 Mg 2.70-2.72
14 Si 0.4018 0.5000 0.2560  2 Si 2.55-2.56, 2 Mg 2.79
15 Si 0.4112 0.5000 0.7354  2 Si 2.38-2.49
16 Si 0.5216 0.5000 0.5535  4 Si 2.42-2.55
17 Si 0.5729 0.0000 0.6509  6 Si 2.55-2.70, 1 Mg 2.81
18 Si 0.6470 0.5000 0.3974  2 Si 2.46-2.55, 1 Mg 2.68
19 Si 0.6974 0.5000 0.9893  2 Si 2.40-2.44
20 Si 0.7737 0.5000 0.7135  5 Si 2.36-2.64
21 Si 0.8658 0.5000 0.1433  2 Si 2.44-2.49
22 Si 0.9269 0.5000 0.8689  2 Si 2.40-2.42

Calculated values
Energy above the lowest structure with this stoichiometry ... 78 meV/atom
Energy relative to the elements, uncorrected ... 103.4 meV per atom

***

# 2
First-principles (PBE-GGA) data for crystalline LiNdNiRh at its relaxed geometry, as listed in Alexandria.

a = 4.6322 Å, b = 4.6322 Å, c = 4.6322 Å
α = 60.00°, β = 60.00°, γ = 60.00°
Closest atoms and distances in Å follow each position.
Positions (direct):
1 Li 0.0000 0.0000 0.0000  4 Ni 2.84, 4 Rh 2.84
2 Nd 0.5000 0.5000 0.5000  4 Ni 2.84, 4 Rh 2.84
3 Ni 0.7500 0.7500 0.7500  4 Li 2.84, 4 Nd 2.84
4 Rh 0.2500 0.2500 0.2500  4 Nd 2.84, 4 Li 2.84

Calculated values
Energy relative to the elements ... -0.1945 eV per atom

***

# 3
First-principles (PBE-GGA) data for crystalline Sc2Ni2Sn at its relaxed geometry, as listed in Alexandria.

a = 5.1490 Å, b = 5.1490 Å, c = 5.1490 Å
α = 122.46°, β = 122.46°, γ = 85.79°
Closest atoms and distances in Å follow each position.
Positions (direct):
1 Sc 0.2500 0.7500 0.5000  4 Ni 2.60
2 Sc 0.7500 0.2500 0.5000  4 Ni 2.60
3 Ni 0.1454 0.1454 0.0000  1 Ni 2.19
4 Ni 0.8546 0.8546 0.0000  1 Ni 2.19
5 Sn 0.5000 0.5000 0.0000  2 Ni 2.68

Calculated values
Energy relative to the elements ... -0.3564 eV per atom

***

# 4
First-principles (PBE-GGA) data for crystalline LiTm5Au4 at its relaxed geometry, as listed in Alexandria.

a = 3.5698 Å, b = 3.5698 Å, c = 17.8212 Å
α = 90.00°, β = 90.00°, γ = 90.00°
Closest atoms and distances in Å follow each position.
Positions (direct):
1 Li 0.0000 0.0000 0.0000  8 Tm 3.15, 2 Au 3.50
2 Tm 0.5000 0.5000 0.1057  4 Au 3.00, 4 Li 3.15
3 Tm 0.5000 0.5000 0.3018  8 Au 3.07-3.14
4 Tm 0.5000 0.5000 0.5000  8 Au 3.09
5 Tm 0.5000 0.5000 0.6982  8 Au 3.07-3.14
6 Tm 0.5000 0.5000 0.8943  4 Au 3.00, 4 Li 3.15
7 Au 0.0000 0.0000 0.1966  8 Tm 3.00-3.14
8 Au 0.0000 0.0000 0.3999  8 Tm 3.07-3.09
9 Au 0.0000 0.0000 0.6001  8 Tm 3.07-3.09
10 Au 0.0000 0.0000 0.8034  8 Tm 3.00-3.14

Calculated values
Energy relative to the elements ... -0.7005 eV per atom

***

# 5
First-principles (PBE-GGA) data for crystalline NpPa2Te at its relaxed geometry, as listed in Alexandria.

a = 3.8476 Å, b = 3.8476 Å, c = 6.5684 Å
α = 90.00°, β = 90.00°, γ = 90.00°
Closest atoms and distances in Å follow each position.
Positions (direct):
1 Np 0.0000 0.0000 0.0000  8 Pa 3.10, 2 Te 3.28
2 Pa 0.5000 0.5000 0.2275  1 Pa 2.99, 4 Np 3.10, 4 Te 3.26
3 Pa 0.5000 0.5000 0.7725  1 Pa 2.99, 4 Np 3.10, 4 Te 3.26
4 Te 0.0000 0.0000 0.5000  8 Pa 3.26, 2 Np 3.28

Calculated values
Energy above the lowest structure with this stoichiometry ... 151 meV/atom
Energy relative to the elements, uncorrected ... -54.2 meV per atom

***

# 6
First-principles (PBE-GGA) data for crystalline Sr2HfZnCr at its relaxed geometry, as listed in Alexandria.

a = 5.4102 Å, b = 5.4102 Å, c = 4.8962 Å
α = 90.00°, β = 90.00°, γ = 90.00°
Closest atoms and distances in Å follow each position.
Positions (direct):
1 Sr 0.0000 0.5000 0.0000  2 Cr 2.71
2 Sr 0.5000 0.0000 0.0000  2 Cr 2.71
3 Hf 0.0000 0.0000 0.5000  8 Sr 3.65, 4 Zn 3.83
4 Zn 0.5000 0.5000 0.5000  2 Cr 2.45
5 Cr 0.5000 0.5000 0.0000  2 Zn 2.45, 4 Sr 2.71

Calculated values
Energy relative to the elements ... 1.3467 eV per atom

***

# 7
First-principles (PBE-GGA) data for crystalline YZr2Br at its relaxed geometry, as listed in Alexandria.

a = 3.3191 Å, b = 5.2132 Å, c = 5.7541 Å
α = 90.00°, β = 90.00°, γ = 90.00°
Closest atoms and distances in Å follow each position.
Positions (direct):
1 Y 0.0000 0.0000 0.0000  4 Br 3.09, 2 Y 3.32, 4 Zr 3.32
2 Zr 0.0000 0.5000 0.5000  6 Zr 3.09-3.32, 4 Br 3.32
3 Zr 0.5000 0.0000 0.5000  6 Zr 3.09-3.32, 4 Y 3.32
4 Br 0.5000 0.5000 0.0000  4 Y 3.09, 2 Br 3.32, 4 Zr 3.32

Calculated values
Energy above the lowest structure with this stoichiometry ... 296 meV/atom
Energy relative to the elements, uncorrected ... -23.5 meV per atom

***

# 8
First-principles (PBE-GGA) data for crystalline ScCuRe2 at its relaxed geometry, as listed in Alexandria.

a = 9.1445 Å, b = 9.1445 Å, c = 9.1445 Å
α = 17.94°, β = 17.94°, γ = 17.94°
Closest atoms and distances in Å follow each position.
Positions (direct):
1 Sc 0.0000 0.0000 0.0000  3 Cu 2.82, 6 Sc 2.85, 3 Re 2.92
2 Cu 0.2483 0.2483 0.2483  3 Re 2.75, 3 Sc 2.82, 6 Cu 2.85
3 Re 0.5000 0.5000 0.5000  9 Re 2.66-2.85, 3 Cu 2.75
4 Re 0.7561 0.7561 0.7561  9 Re 2.66-2.85, 3 Sc 2.92

Calculated values
Energy above the lowest structure with this stoichiometry ... 245 meV/atom
Energy relative to the elements ... 0.1957 eV per atom

***

# 9
First-principles (PBE-GGA) data for crystalline InCu2SnP at its relaxed geometry, as listed in Alexandria.

a = 4.3563 Å, b = 4.3563 Å, c = 5.8104 Å
α = 90.00°, β = 90.00°, γ = 90.00°
Closest atoms and distances in Å follow each position.
Positions (direct):
1 In 0.0000 0.0000 0.0000  2 P 2.91, 4 Sn 3.08
2 Cu 0.0000 0.5000 0.5000  2 P 2.18
3 Cu 0.5000 0.0000 0.5000  2 P 2.18
4 Sn 0.5000 0.5000 0.0000  4 In 3.08
5 P 0.0000 0.0000 0.5000  4 Cu 2.18

Calculated values
Energy relative to the elements ... 0.2412 eV per atom

***

# 10
First-principles (PBE-GGA) data for crystalline ThTl2I5 at its relaxed geometry, as listed in Alexandria.

a = 9.1269 Å, b = 9.1269 Å, c = 8.5811 Å
α = 117.94°, β = 117.94°, γ = 56.16°
Closest atoms and distances in Å follow each position.
Positions (direct):
1 Th 0.0000 0.0000 0.0000  5 I 2.99-3.09
2 Tl 0.1887 0.1887 0.6879  4 I 3.49
3 Tl 0.6894 0.6894 0.1862  4 I 3.49-3.50
4 I 0.3065 0.8171 0.8161  1 Th 3.09
5 I 0.3083 0.8182 0.3074  1 Th 3.09
6 I 0.7811 0.7811 0.7826  1 Th 2.99
7 I 0.8171 0.3065 0.8161  1 Th 3.09
8 I 0.8182 0.3083 0.3074  1 Th 3.09

Calculated values
Energy relative to the elements, uncorrected ... -733.5 meV per atom

***

# 11
First-principles (PBE-GGA) data for crystalline SnCl2F at its relaxed geometry, as listed in Alexandria.

a = 9.2166 Å, b = 9.2166 Å, c = 9.2166 Å
α = 150.90°, β = 150.90°, γ = 41.63°
Closest atoms and distances in Å follow each position.
Positions (direct):
1 Sn 0.0000 0.0000 0.0000  4 Cl 2.68
2 Sn 0.7500 0.2500 0.5000  4 Cl 2.68
3 Cl 0.1128 0.6250 0.9878  2 Sn 2.68, 2 F 2.73
4 Cl 0.3750 0.3628 0.4878  2 Sn 2.68, 2 F 2.73
5 Cl 0.6372 0.1250 0.0122  2 Sn 2.68, 2 F 2.73
6 Cl 0.8750 0.8872 0.5122  2 Sn 2.68, 2 F 2.73
7 F 0.2500 0.7500 0.5000  4 Cl 2.73
8 F 0.5000 0.5000 0.0000  4 Cl 2.73

Calculated values
Energy above the lowest structure with this stoichiometry ... 138 meV/atom
Energy relative to the elements, uncorrected ... -611.1 meV per atom

***

# 12
First-principles (PBE-GGA) data for crystalline Ca2GeAs3Pd4 at its relaxed geometry, as listed in Alexandria.

a = 4.3094 Å, b = 4.3094 Å, c = 10.4562 Å
α = 90.00°, β = 90.00°, γ = 90.00°
Closest atoms and distances in Å follow each position.
Positions (direct):
1 Ca 0.0000 0.5000 0.2434  6 As 3.26-3.44, 8 Pd 3.31-3.33, 2 Ge 3.44
2 Ca 0.5000 0.0000 0.7566  6 As 3.26-3.44, 8 Pd 3.31-3.33, 2 Ge 3.44
3 Ge 0.0000 0.0000 0.5000  4 Pd 2.56
4 As 0.0000 0.5000 0.8667  5 Pd 2.45-2.57
5 As 0.5000 0.0000 0.1333  5 Pd 2.45-2.57
6 As 0.5000 0.5000 0.5000  4 Pd 2.56
7 Pd 0.0000 0.0000 0.0000  4 As 2.57
8 Pd 0.0000 0.5000 0.6321  3 As 2.45-2.56, 2 Ge 2.56
9 Pd 0.5000 0.0000 0.3679  3 As 2.45-2.56, 2 Ge 2.56
10 Pd 0.5000 0.5000 0.0000  4 As 2.57

Calculated values
Energy relative to the elements ... -0.7263 eV per atom